No. 1
A plane-wave DFT calculation with PBE-GGA was carried out for a relaxed Fe2CuAgN crystal.

Cell: 3.8374 3.8374 4.0510 Å, 90.00 90.00 90.00°
Fractional positions:
1 Fe 0.0000 0.5000 0.0000
2 Fe 0.5000 0.0000 0.0000
3 Cu 0.0000 0.0000 0.5000
4 Ag 0.5000 0.5000 0.5000
5 N 0.0000 0.0000 0.0000

- formation energy from raw total energies (meV/atom) = 114
- ρ (g cm⁻³) = 8.3
- symmetry = No. 123

No. 2
A plane-wave DFT calculation with PBE-GGA was carried out for a relaxed KZnIn2S4 crystal.

Cell: 6.9855 6.5467 6.5143 Å, 64.67 57.89 57.44°
Fractional positions:
1 K 0.0000 0.0000 0.0000
2 Zn 0.4494 0.4494 0.5506
3 In 0.2177 0.2177 0.2823
4 In 0.7177 0.7177 0.7823
5 S 0.0862 0.5238 0.9138
6 S 0.3654 0.7766 0.2234
7 S 0.5238 0.0862 0.4762
8 S 0.7766 0.3654 0.6346

- formation energy from raw total energies (meV/atom) = -669
- ρ (g cm⁻³) = 3.7
- symmetry = No. 42

No. 3
A plane-wave DFT calculation with PBE-GGA was carried out for a relaxed Pr3Zn4Ag crystal.

Cell: 4.0684 7.0304 14.4554 Å, 90.00 90.00 90.00°
Fractional positions:
1 Pr 0.0000 0.0000 0.0000
2 Pr 0.0000 0.5000 0.1929
3 Pr 0.0000 0.5000 0.8071
4 Pr 0.5000 0.0000 0.3071
5 Pr 0.5000 0.0000 0.6929
6 Pr 0.5000 0.5000 0.5000
7 Zn 0.0000 0.2990 0.3774
8 Zn 0.0000 0.2990 0.6226
9 Zn 0.0000 0.7010 0.3774
10 Zn 0.0000 0.7010 0.6226
11 Zn 0.5000 0.2010 0.1226
12 Zn 0.5000 0.2010 0.8774
13 Zn 0.5000 0.7990 0.1226
14 Zn 0.5000 0.7990 0.8774
15 Ag 0.0000 0.0000 0.5000
16 Ag 0.5000 0.5000 0.0000

- energy of formation (meV per atom) = -116
- ρ (g cm⁻³) = 6.4
- symmetry = No. 71

No. 4
A plane-wave DFT calculation with PBE-GGA was carried out for a relaxed Hf2Ga2Ir crystal.

Cell: 6.5779 6.5779 4.0136 Å, 90.00 90.00 90.00°
Fractional positions:
1 Hf 0.1724 0.3276 0.0000
2 Hf 0.3276 0.8276 0.0000
3 Hf 0.6724 0.1724 0.0000
4 Hf 0.8276 0.6724 0.0000
5 Ga 0.1330 0.6330 0.5000
6 Ga 0.3670 0.1330 0.5000
7 Ga 0.6330 0.8670 0.5000
8 Ga 0.8670 0.3670 0.5000
9 Ir 0.0000 0.0000 0.5000
10 Ir 0.5000 0.5000 0.5000

- energy of formation (meV per atom) = -673
- distance to the lowest polymorph of the same formula (eV per atom) = 0.021
- ρ (g cm⁻³) = 13.2
- symmetry = No. 127